(1)
DFT (PBE-GGA) results for an optimized crystal structure of MgGa2Ag4.

It has space group C2/m (No. 12), with a = 8.569 Å, b = 6.378 Å, c = 5.722 Å, α = 90.00°, β = 123.07° and γ = 90.00°. The inequivalent atoms are Mg at (0.000, 0.000, 0.000), Ga at (0.009, 0.500, 0.239) and Ag at (0.198, 0.221, 0.708).

The value obtained for the formation energy is -0.035 eV/f.u. The calculation puts the density of states at the Fermi level at 0.999 states/eV/f.u. The total energy is -2.727 eV per atom.


(2)
DFT (PBE-GGA) results for an optimized crystal structure of Fe2TeW.

It has space group Cm (No. 8), with a = 8.789 Å, b = 3.085 Å, c = 4.529 Å, α = 90.00°, β = 100.59° and γ = 90.00°. The inequivalent atoms are Fe at (0.000, 0.000, 0.000), Fe at (0.241, 0.500, 0.218), Te at (0.242, 0.000, 0.748) and W at (0.479, 0.000, 0.421).

The calculation puts the density of states at the Fermi level at 4.558 states/eV/f.u. The total energy is -7.756 eV per atom. As for the formation energy from raw total energies: 0.499 eV/atom.


(3)
DFT (PBE-GGA) results for an optimized crystal structure of Tb3AgTe.

It has space group Pmmn (No. 59, origin choice 2), with a = 3.972 Å, b = 6.969 Å, c = 10.429 Å, α = 90.00°, β = 90.00° and γ = 90.00°. The inequivalent atoms are Tb at (0.250, 0.001, 0.184), Tb at (0.250, 0.250, 0.584), Ag at (0.250, 0.250, 0.946) and Te at (0.250, 0.750, 0.646).

The calculation puts the density of states at the Fermi level at 4.285 states/eV/f.u. The total energy is -4.515 eV per atom. As for the formation energy from raw total energies: -0.538 eV/atom.


(4)
DFT (PBE-GGA) results for an optimized crystal structure of KEuGe4O12.

It has space group P4/mmm (No. 123), with a = 5.335 Å, b = 5.335 Å, c = 7.578 Å, α = 90.00°, β = 90.00° and γ = 90.00°. The inequivalent atoms are K at (0.000, 0.000, 0.000), Eu at (0.500, 0.500, 0.500), Ge at (0.000, 0.500, 0.242), O at (0.000, 0.500, 0.000), O at (0.000, 0.500, 0.500) and O at (0.259, 0.259, 0.268).

The calculation puts the density of states at the Fermi level at 11.592 states/eV/f.u. The total energy is -6.247 eV per atom. As for the formation energy from raw total energies: -1.284 eV/atom.


(5)
DFT (PBE-GGA) results for an optimized crystal structure of Hf3Co5H12.

It has space group Ia-3d (No. 230), with a = 10.682 Å, b = 10.682 Å, c = 10.682 Å, α = 90.00°, β = 90.00° and γ = 90.00°. The inequivalent atoms are Hf at (0.000, 0.250, 0.125), Co at (0.000, 0.000, 0.000), Co at (0.000, 0.250, 0.375) and H at (0.027, 0.058, 0.646).

The calculation puts the density of states at the Fermi level at 8.939 states/eV/f.u. The total energy is -5.451 eV per atom.


(6)
DFT (PBE-GGA) results for an optimized crystal structure of Co2AgMo.

It has space group P2/m (No. 10), with a = 4.587 Å, b = 2.658 Å, c = 4.904 Å, α = 90.00°, β = 112.72° and γ = 90.00°. The inequivalent atoms are Co at (0.000, 0.000, 0.000), Co at (0.000, 0.500, 0.500), Ag at (0.500, 0.000, 0.500) and Mo at (0.500, 0.500, 0.000).

The value obtained for the formation energy is 2.031 eV/f.u. The calculation puts the density of states at the Fermi level at 4.954 states/eV/f.u. The total energy is -6.466 eV per atom.